VASP calculation (GGA-PBE) on a geometry-optimized DyTiCuNi structure.

Cell and atoms, written as CIF:
```
data_DyTiCuNi
_chemical_formula_sum 'Dy4 Ti4 Cu4 Ni4'
_symmetry_space_group_name_H-M 'F -4 3 m'
_symmetry_Int_Tables_number 216
_symmetry_space_group_name_Hall 'F -4 2 3'
_cell_length_a 6.487
_cell_length_b 6.487
_cell_length_c 6.487
_cell_angle_alpha 90.00
_cell_angle_beta 90.00
_cell_angle_gamma 90.00
loop_
_atom_site_label
_atom_site_fract_x
_atom_site_fract_y
_atom_site_fract_z
_atom_site_occupancy
Dy1 0.000 0.000 0.000 1
Ti1 0.000 0.000 0.500 1
Cu1 0.250 0.250 0.750 1
Ni1 0.250 0.250 0.250 1
```

Values from the calculation:
Electronic total energy   -5.71 eV/atom
M_tot   0.7 μB/f.u.
Density of states at the Fermi level   21.5 states/eV/cell
Formation energy   -0.121 eV/atom

VASP calculation (GGA-PBE) on a geometry-optimized CoNiSe2Br structure.

Cell and atoms, written as CIF:
```
data_CoNiSe2Br
_chemical_formula_sum 'Co1 Ni1 Se2 Br1'
_symmetry_space_group_name_H-M 'P 4/m m m'
_symmetry_Int_Tables_number 123
_symmetry_space_group_name_Hall '-P 4 2'
_cell_length_a 4.670
_cell_length_b 4.670
_cell_length_c 4.977
_cell_angle_alpha 90.00
_cell_angle_beta 90.00
_cell_angle_gamma 90.00
loop_
_atom_site_label
_atom_site_fract_x
_atom_site_fract_y
_atom_site_fract_z
_atom_site_occupancy
Co1 0.000 0.000 0.000 1
Ni1 0.500 0.500 0.500 1
Se1 0.000 0.500 0.500 1
Br1 0.500 0.500 0.000 1
```

Values from the calculation:
ΔE to the lowest computed polymorph   0.0113 eV/atom
Electronic total energy   -3.62 eV/atom
M_tot   3.2 μB/f.u.
Density of states at the Fermi level   5.6 states/eV/cell
Raw formation energy   328.9 kJ/mol of formula units

VASP calculation (GGA-PBE) on a geometry-optimized LiLaCd2In structure.

Cell and atoms, written as CIF:
```
data_LiLaCd2In
_chemical_formula_sum 'Li1 La1 Cd2 In1'
_symmetry_space_group_name_H-M 'P 4/m m m'
_symmetry_Int_Tables_number 123
_symmetry_space_group_name_Hall '-P 4 2'
_cell_length_a 4.932
_cell_length_b 4.932
_cell_length_c 5.037
_cell_angle_alpha 90.00
_cell_angle_beta 90.00
_cell_angle_gamma 90.00
loop_
_atom_site_label
_atom_site_fract_x
_atom_site_fract_y
_atom_site_fract_z
_atom_site_occupancy
Li1 0.000 0.000 0.000 1
La1 0.500 0.500 0.500 1
Cd1 0.000 0.500 0.000 1
In1 0.000 0.000 0.500 1
```

Values from the calculation:
Electronic total energy   -2.50 eV/atom
M_tot   0.0 μB/f.u.
Density of states at the Fermi level   2.8 states/eV/cell
Formation energy   -0.214 eV/atom